Entry from Alexandria via LeMat-Bulk: an optimized crystal structure of VFePb2O5 (PBE with a Hubbard U).

- M_tot (μB/f.u.) = 5.0
- SG = Cmc2_1, No. 36
- energy (hartree per atom) = -0.235

Cell and atoms, written as POSCAR:
```
VFePb2O5
1.0
1.6259 -6.6554 0.0000
1.6259 6.6554 0.0000
0.0000 0.0000 11.8880
V Fe Pb O
2 2 4 10
direct
0.2194 0.7806 0.5000
0.7806 0.2194 0.0000
0.4671 0.5329 0.9153
0.5329 0.4671 0.4153
0.0741 0.9259 0.1409
0.1642 0.8358 0.7688
0.8358 0.1642 0.2688
0.9259 0.0741 0.6409
0.0619 0.9381 0.5159
0.2759 0.7241 0.1119
0.3081 0.6919 0.8976
0.3521 0.6479 0.4716
0.4851 0.5149 0.2579
0.5149 0.4851 0.7579
0.6479 0.3521 0.9716
0.6919 0.3081 0.3976
0.7241 0.2759 0.6119
0.9381 0.0619 0.0159
```